This record from Alexandria via LeMat-Bulk describes an optimized crystal structure of La6Si2NCl3. The functional is PBE-GGA.

Unit cell a=7.152 b=7.152 c=7.594 alpha=99.04 beta=99.04 gamma=119.94
Element x y z (fractional)
La 0.930 0.626 0.789
La 0.768 0.768 0.214
La 0.070 0.374 0.211
La 0.626 0.930 0.789
La 0.232 0.232 0.786
La 0.374 0.070 0.211
Si 0.334 0.666 0.000
Si 0.666 0.334 0.000
N 0.000 0.000 0.000
Cl 0.177 0.823 0.500
Cl 0.823 0.177 0.500
Cl 0.500 0.500 0.500

Properties
- DOS at the Fermi energy: 6.5 states/eV per cell
- M_tot: 0.0 μB per formula unit
- Final energy: -70.324 eV for the cell shown

=====

This record from Alexandria via LeMat-Bulk describes an optimized crystal structure of LaSmNCl. The functional is PBE-GGA.

Unit cell a=3.688 b=3.688 c=7.523 alpha=90.00 beta=104.19 gamma=120.00
Element x y z (fractional)
La 0.511 0.153 0.680
Sm 0.094 0.945 0.054
N 0.317 0.556 0.888
Cl 0.956 0.376 0.348

Properties
- DOS at the Fermi energy: 0.8 states/eV per cell
- M_tot: 0.0 μB per formula unit
- Final energy: -26.084 eV for the cell shown

=====

This record from Alexandria via LeMat-Bulk describes an optimized crystal structure of Sr2LaN2Cl2. The functional is PBE-GGA.

Unit cell a=4.630 b=4.630 c=8.319 alpha=106.16 beta=106.16 gamma=90.00
Element x y z (fractional)
Sr 0.390 0.390 0.779
Sr 0.610 0.610 0.221
La 0.000 0.000 0.000
N 0.000 0.500 0.000
N 0.500 0.000 0.000
Cl 0.192 0.192 0.384
Cl 0.808 0.808 0.616

Properties
- DOS at the Fermi energy: 2.1 states/eV per cell
- M_tot: 0.4 μB per formula unit
- Final energy: -38.815 eV for the cell shown

=====

This record from Alexandria via LeMat-Bulk describes an optimized crystal structure of SrLaNCl. The functional is PBE-GGA.

Unit cell a=3.886 b=3.886 c=7.602 alpha=90.00 beta=104.81 gamma=120.00
Element x y z (fractional)
Sr 0.498 0.147 0.660
La 0.086 0.941 0.042
N 0.331 0.563 0.909
Cl 0.963 0.379 0.358

Properties
- DOS at the Fermi energy: 0.3 states/eV per cell
- M_tot: 1.0 μB per formula unit
- Final energy: -22.658 eV for the cell shown

=====

This record from Alexandria via LeMat-Bulk describes an optimized crystal structure of La4TcNCl2. The functional is PBE-GGA.

Unit cell a=3.986 b=6.816 c=7.843 alpha=105.75 beta=90.00 gamma=90.00
Element x y z (fractional)
La 0.500 0.232 0.188
La 0.500 0.768 0.812
La 0.000 0.222 0.798
La 0.000 0.778 0.202
Tc 0.500 0.500 0.000
N 0.000 0.000 0.000
Cl 0.500 0.000 0.500
Cl 0.000 0.500 0.500

Properties
- DOS at the Fermi energy: 4.5 states/eV per cell
- M_tot: 0.0 μB per formula unit
- Final energy: -51.280 eV for the cell shown

=====

This record from Alexandria via LeMat-Bulk describes an optimized crystal structure of LaTeN2Cl. The functional is PBE-GGA.

Unit cell a=4.435 b=4.435 c=5.158 alpha=90.00 beta=90.00 gamma=90.00
Element x y z (fractional)
Cl 0.000 0.000 0.000
N 0.000 0.500 0.000
N 0.500 0.000 0.000
Te 0.000 0.000 0.500
La 0.500 0.500 0.500

Properties
- DOS at the Fermi energy: 2.3 states/eV per cell
- M_tot: 1.5 μB per formula unit
- Final energy: -20.724 eV for the cell shown

=====

This record from Alexandria via LeMat-Bulk describes an optimized crystal structure of LaTeN2Cl. The functional is PBE-GGA.

Unit cell a=4.256 b=4.256 c=7.210 alpha=90.00 beta=90.00 gamma=90.00
Element x y z (fractional)
Cl 0.500 0.500 0.500
N 0.000 0.500 0.000
N 0.500 0.000 0.000
Te 0.000 0.000 0.500
La 0.000 0.000 0.000

Properties
- DOS at the Fermi energy: 4.9 states/eV per cell
- M_tot: 0.3 μB per formula unit
- Final energy: -22.831 eV for the cell shown

=====

This record from Alexandria via LeMat-Bulk describes an optimized crystal structure of La2TeNCl2. The functional is PBE-GGA.

Unit cell a=4.232 b=9.495 c=7.906 alpha=90.00 beta=90.00 gamma=90.00
Element x y z (fractional)
La 0.000 0.173 0.801
La 0.500 0.254 0.378
La 0.000 0.673 0.199
La 0.500 0.754 0.622
Te 0.000 0.978 0.430
Te 0.000 0.478 0.570
N 0.500 0.193 0.655
N 0.500 0.693 0.345
Cl 0.500 0.090 0.058
Cl 0.000 0.358 0.136
Cl 0.500 0.590 0.942
Cl 0.000 0.858 0.864

Properties
- DOS at the Fermi energy: 5.1 states/eV per cell
- M_tot: 0.7 μB per formula unit
- Final energy: -69.721 eV for the cell shown

=====

This record from Alexandria via LeMat-Bulk describes an optimized crystal structure of LaTi2NCl. The functional is PBE-GGA.

Unit cell a=5.137 b=5.137 c=4.279 alpha=90.00 beta=90.00 gamma=90.00
Element x y z (fractional)
Cl 0.500 0.500 0.500
N 0.000 0.000 0.500
Ti 0.000 0.500 0.000
Ti 0.500 0.000 0.000
La 0.000 0.000 0.000

Properties
- DOS at the Fermi energy: 9.2 states/eV per cell
- M_tot: 0.0 μB per formula unit
- Final energy: -24.532 eV for the cell shown

=====

This record from Alexandria via LeMat-Bulk describes an optimized crystal structure of La2TmN2Cl2. The functional is PBE-GGA.

Unit cell a=4.465 b=4.465 c=8.343 alpha=105.52 beta=105.52 gamma=90.00
Element x y z (fractional)
La 0.402 0.402 0.804
La 0.598 0.598 0.196
Tm 0.000 0.000 0.000
N 0.000 0.500 0.000
N 0.500 0.000 0.000
Cl 0.180 0.180 0.360
Cl 0.820 0.820 0.640

Properties
- DOS at the Fermi energy: 1.7 states/eV per cell
- M_tot: 1.0 μB per formula unit
- Final energy: -46.303 eV for the cell shown

=====

This record from Alexandria via LeMat-Bulk describes an optimized crystal structure of La2YNCl. The functional is PBE-GGA.

Unit cell a=5.236 b=4.630 c=5.236 alpha=90.00 beta=90.00 gamma=90.00
Element x y z (fractional)
Y 0.000 0.500 0.000
N 0.000 0.000 0.000
Cl 0.500 0.500 0.500
La 0.000 0.000 0.500
La 0.500 0.000 0.000

Properties
- DOS at the Fermi energy: 6.9 states/eV per cell
- M_tot: 0.0 μB per formula unit
- Final energy: -30.025 eV for the cell shown

=====

This record from Alexandria via LeMat-Bulk describes an optimized crystal structure of Na3LaCl6. The functional is PBE-GGA.

Unit cell a=7.159 b=7.380 c=10.594 alpha=90.00 beta=88.75 gamma=90.00
Element x y z (fractional)
Na 0.511 0.941 0.776
Na 0.500 0.500 0.000
Na 0.489 0.059 0.224
Na 0.011 0.559 0.276
Na 0.000 0.000 0.500
Na 0.989 0.441 0.724
La 0.500 0.500 0.500
La 0.000 0.000 0.000
Cl 0.670 0.179 0.946
Cl 0.675 0.190 0.595
Cl 0.643 0.410 0.259
Cl 0.357 0.590 0.741
Cl 0.325 0.810 0.405
Cl 0.330 0.821 0.054
Cl 0.170 0.321 0.446
Cl 0.175 0.310 0.095
Cl 0.143 0.090 0.759
Cl 0.857 0.910 0.241
Cl 0.825 0.690 0.905
Cl 0.830 0.679 0.554

Properties
- DOS at the Fermi energy: 0.0 states/eV per cell
- M_tot: 0.0 μB per formula unit
- Final energy: -80.246 eV for the cell shown

=====

This record from Alexandria via LeMat-Bulk describes an optimized crystal structure of Na3La5Cl18. The functional is PBE-GGA.

Unit cell a=7.691 b=7.691 c=13.078 alpha=90.00 beta=90.00 gamma=120.00
Element x y z (fractional)
Na 0.000 0.000 0.500
Na 0.667 0.333 0.265
Na 0.667 0.333 0.735
La 0.000 0.000 0.831
La 0.000 0.000 0.169
La 0.333 0.667 0.341
La 0.333 0.667 0.000
La 0.333 0.667 0.659
Cl 0.977 0.248 0.000
Cl 0.972 0.253 0.325
Cl 0.972 0.253 0.675
Cl 0.752 0.729 0.000
Cl 0.747 0.719 0.325
Cl 0.747 0.719 0.675
Cl 0.055 0.635 0.836
Cl 0.055 0.635 0.164
Cl 0.060 0.631 0.500
Cl 0.271 0.023 0.000
Cl 0.281 0.028 0.325
Cl 0.281 0.028 0.675
Cl 0.579 0.945 0.836
Cl 0.579 0.945 0.164
Cl 0.571 0.940 0.500
Cl 0.365 0.421 0.836
Cl 0.365 0.421 0.164
Cl 0.369 0.429 0.500

Properties
- DOS at the Fermi energy: 0.0 states/eV per cell
- M_tot: 0.0 μB per formula unit
- Final energy: -120.561 eV for the cell shown

=====

This record from Alexandria via LeMat-Bulk describes an optimized crystal structure of NaLaCl. The functional is PBE-GGA.

Unit cell a=3.817 b=3.818 c=13.941 alpha=89.82 beta=89.88 gamma=60.07
Element x y z (fractional)
Na 0.226 0.029 0.735
Na 0.226 0.031 0.482
La 0.891 0.688 0.239
La 0.226 0.024 0.027
Cl 0.893 0.693 0.867
Cl 0.560 0.364 0.618

Properties
- DOS at the Fermi energy: 2.5 states/eV per cell
- M_tot: 0.0 μB per formula unit
- Final energy: -22.691 eV for the cell shown

=====

This record from Alexandria via LeMat-Bulk describes an optimized crystal structure of NaLaCl2. The functional is PBE-GGA.

Unit cell a=6.672 b=6.672 c=7.691 alpha=64.29 beta=64.29 gamma=90.00
Element x y z (fractional)
Na 0.500 0.500 0.000
Na 0.250 0.750 0.500
Cl 0.597 0.125 0.250
Cl 0.153 0.625 0.250
Cl 0.375 0.403 0.750
Cl 0.875 0.847 0.750
La 0.000 0.000 0.000
La 0.750 0.250 0.500

Properties
- DOS at the Fermi energy: 3.7 states/eV per cell
- M_tot: 1.9 μB per formula unit
- Final energy: -30.512 eV for the cell shown

=====

This record from Alexandria via LeMat-Bulk describes an optimized crystal structure of Na2LaCl. The functional is PBE-GGA.

Unit cell a=5.693 b=5.693 c=5.693 alpha=60.00 beta=60.00 gamma=60.00
Element x y z (fractional)
Na 0.250 0.250 0.250
Na 0.750 0.750 0.750
Cl 0.000 0.000 0.000
La 0.500 0.500 0.500

Properties
- DOS at the Fermi energy: 1.7 states/eV per cell
- M_tot: 0.0 μB per formula unit
- Final energy: -9.307 eV for the cell shown

=====

This record from Alexandria via LeMat-Bulk describes an optimized crystal structure of NaLaCl. The functional is PBE-GGA.

Unit cell a=7.871 b=3.702 c=6.453 alpha=90.00 beta=105.95 gamma=90.00
Element x y z (fractional)
Na 0.347 0.000 0.811
Na 0.347 0.500 0.311
La 0.900 0.000 0.330
La 0.900 0.500 0.830
Cl 0.617 0.000 0.569
Cl 0.617 0.500 0.069

Properties
- DOS at the Fermi energy: 6.5 states/eV per cell
- M_tot: 0.1 μB per formula unit
- Final energy: -21.992 eV for the cell shown

=====

This record from Alexandria via LeMat-Bulk describes an optimized crystal structure of NaLa2Cl6. The functional is PBE-GGA.

Unit cell a=6.811 b=6.811 c=12.317 alpha=90.00 beta=90.00 gamma=90.00
Element x y z (fractional)
Na 0.500 0.500 0.000
Na 0.000 0.000 0.500
La 0.500 0.500 0.346
La 0.500 0.500 0.654
La 0.000 0.000 0.154
La 0.000 0.000 0.846
Cl 0.703 0.703 0.172
Cl 0.703 0.703 0.828
Cl 0.716 0.716 0.500
Cl 0.784 0.216 0.000
Cl 0.797 0.203 0.328
Cl 0.797 0.203 0.672
Cl 0.203 0.797 0.328
Cl 0.203 0.797 0.672
Cl 0.216 0.784 0.000
Cl 0.284 0.284 0.500
Cl 0.297 0.297 0.172
Cl 0.297 0.297 0.828

Properties
- DOS at the Fermi energy: 0.5 states/eV per cell
- M_tot: 1.3 μB per formula unit
- Final energy: -82.889 eV for the cell shown

=====

This record from Alexandria via LeMat-Bulk describes an optimized crystal structure of NaLa2Cl. The functional is PBE-GGA.

Unit cell a=5.558 b=5.558 c=5.558 alpha=60.00 beta=60.00 gamma=60.00
Element x y z (fractional)
Na 0.000 0.000 0.000
Cl 0.500 0.500 0.500
La 0.250 0.250 0.250
La 0.750 0.750 0.750

Properties
- DOS at the Fermi energy: 4.8 states/eV per cell
- M_tot: 0.0 μB per formula unit
- Final energy: -13.878 eV for the cell shown

=====

This record from Alexandria via LeMat-Bulk describes an optimized crystal structure of NaLa2Cl4. The functional is PBE-GGA.

Unit cell a=8.003 b=8.005 c=8.005 alpha=110.50 beta=112.62 gamma=105.39
Element x y z (fractional)
Na 0.256 0.756 0.500
Na 0.954 0.954 0.000
La 0.646 0.370 0.724
La 0.646 0.922 0.276
La 0.627 0.357 0.270
La 0.088 0.357 0.730
Cl 0.952 0.248 0.295
Cl 0.339 0.544 0.205
Cl 0.952 0.657 0.705
Cl 0.765 0.053 0.712
Cl 0.341 0.053 0.288
Cl 0.339 0.134 0.795
Cl 0.475 0.672 0.802
Cl 0.870 0.672 0.198

Properties
- DOS at the Fermi energy: 2.7 states/eV per cell
- M_tot: 2.0 μB per formula unit
- Final energy: -61.991 eV for the cell shown